# 1
VASP calculation (PBE-GGA) on ScBeCl after structural relaxation.

a b c (Å): 4.463 4.463 4.463
angles (deg): 60.00 60.00 60.00
Element x y z (fractional)
Sc  0.750  0.750  0.750
Be  0.000  0.000  0.000
Cl  0.500  0.500  0.500

Computed properties:
SG = F-43m (216)
N(E_F) = 2.81 states/eV/cell
Total magnetic moment = 1.615 μB per cell
Raw total energy = -3.706 eV per atom
Relative energy among the computed polymorphs = 624 meV per atom
ΔE_f (raw) = 0.8 eV per formula unit

***

# 2
VASP calculation (PBE-GGA) on Nd2Y5Tm4 after structural relaxation.

a b c (Å): 3.534 8.558 14.185
angles (deg): 121.80 97.16 90.00
Element x y z (fractional)
Nd  0.724  0.622  0.447
Nd  0.276  0.378  0.553
Y  0.182  0.893  0.365
Y  0.818  0.107  0.635
Y  0.129  0.212  0.258
Y  0.500  0.000  0.000
Y  0.871  0.788  0.742
Tm  0.586  0.482  0.172
Tm  0.038  0.732  0.076
Tm  0.414  0.518  0.828
Tm  0.962  0.268  0.924

Computed properties:
SG = C2/m (12)
N(E_F) = 18.36 states/eV/cell
Total magnetic moment = 0.000 μB per cell
Energy relative to the elements = 0.101 eV/atom
Raw total energy = -5.330 eV per atom
Relative energy among the computed polymorphs = 76 meV per atom

***

# 3
VASP calculation (PBE-GGA) on Dy8OsRu2 after structural relaxation.

a b c (Å): 4.854 6.841 9.021
angles (deg): 106.92 105.61 90.00
Element x y z (fractional)
Dy  0.405  0.550  0.809
Dy  0.667  0.964  0.334
Dy  0.797  0.686  0.593
Dy  0.970  0.206  0.939
Dy  0.203  0.314  0.407
Dy  0.333  0.036  0.666
Dy  0.595  0.450  0.191
Dy  0.030  0.794  0.061
Os  0.500  0.000  0.000
Ru  0.814  0.302  0.629
Ru  0.186  0.698  0.371

Computed properties:
SG = C2/m (12)
N(E_F) = 9.61 states/eV/cell
Total magnetic moment = 0.000 μB per cell
Energy relative to the elements = -0.250 eV/atom
Raw total energy = -6.305 eV per atom
Relative energy among the computed polymorphs = 0 meV per atom

***

# 4
VASP calculation (PBE-GGA) on Ba2Ag2I after structural relaxation.

a b c (Å): 9.449 9.449 4.449
angles (deg): 90.00 90.00 90.00
Element x y z (fractional)
I  0.000  0.000  0.000
I  0.500  0.500  0.000
Ba  0.321  0.821  0.000
Ba  0.821  0.679  0.000
Ba  0.679  0.179  0.000
Ba  0.179  0.321  0.000
Ag  0.107  0.607  0.500
Ag  0.607  0.893  0.500
Ag  0.893  0.393  0.500
Ag  0.393  0.107  0.500

Computed properties:
SG = P4/mbm (127)
N(E_F) = 4.97 states/eV/cell
Total magnetic moment = 0.000 μB per cell
Raw total energy = -2.810 eV per atom
Relative energy among the computed polymorphs = 154 meV per atom
ΔE_f (raw) = -3.0 eV per formula unit

***

# 5
VASP calculation (PBE-GGA) on TaMnCr after structural relaxation.

a b c (Å): 6.469 6.282 2.686
angles (deg): 81.78 73.96 24.27
Element x y z (fractional)
Cr  0.989  0.989  0.011
Mn  0.343  0.343  0.657
Ta  0.667  0.667  0.333

Computed properties:
SG = Fmm2 (42)
N(E_F) = 2.92 states/eV/cell
Total magnetic moment = 0.908 μB per cell
Energy relative to the elements = 0.139 eV/atom
Raw total energy = -10.076 eV per atom
Relative energy among the computed polymorphs = 306 meV per atom

***

# 6
VASP calculation (PBE-GGA) on Nd2Ga6Ni after structural relaxation.

a b c (Å): 5.501 6.038 6.038
angles (deg): 60.01 89.99 89.99
Element x y z (fractional)
Nd  0.819  0.667  0.667
Nd  0.181  0.333  0.333
Ga  0.309  0.340  0.830
Ga  0.309  0.830  0.830
Ga  0.309  0.830  0.340
Ga  0.691  0.660  0.170
Ga  0.691  0.170  0.170
Ga  0.691  0.170  0.660
Ni  0.000  0.000  0.000

Computed properties:
SG = P-3m1 (164)
N(E_F) = 5.29 states/eV/cell
Total magnetic moment = 0.000 μB per cell
Energy relative to the elements = -0.548 eV/atom
Raw total energy = -4.268 eV per atom
Relative energy among the computed polymorphs = 37 meV per atom